# SmDy4Tm5

An optimized crystal structure of SmDy4Tm5 (PBE, the Alexandria database).

```
SmDy4Tm5
1.0
-2.9886 1.7999 0.3235
-4.8964 -6.9072 -6.8152
-0.7347 -5.7831 6.4407
Tm Dy Sm
5 4 1
direct
0.5000 0.5000 0.0000
0.8270 0.4508 0.6538
0.1740 0.9470 0.3486
0.8260 0.0530 0.6514
0.1730 0.5492 0.3462
0.9728 0.2523 0.9457
0.3470 0.7502 0.6936
0.0272 0.7477 0.0543
0.6530 0.2498 0.3064
0.5000 0.0000 0.0000
```

Summary:
Uncorrected energy (eV per cell): -43.56
ρ (g cm⁻³): 8.43
Energy relative to the elements (eV/atom): 0.193
Excess energy over the best structure of this formula in the dataset (meV/atom): 0

# SmDy8Tm2

An optimized crystal structure of SmDy8Tm2 (PBE, the Alexandria database).

```
SmDy8Tm2
1.0
-1.8311 5.1589 0.4127
-7.6110 -2.6298 -0.8952
4.0931 -2.1142 8.0749
Sm Dy Tm
1 8 2
direct
0.5000 0.0000 0.0000
0.8364 0.8364 0.6727
0.0000 0.7046 0.0000
0.1636 0.1636 0.3273
0.3610 0.1548 0.7220
0.6390 0.4327 0.2779
0.6390 0.8452 0.2780
0.0000 0.2954 0.0000
0.3610 0.5673 0.7221
0.8002 0.3002 0.6003
0.1998 0.6998 0.3997
```

Summary:
Uncorrected energy (eV per cell): -49.20
ρ (g cm⁻³): 8.45
Energy relative to the elements (eV/atom): 0.116
Excess energy over the best structure of this formula in the dataset (meV/atom): 0

# Sm4DyTm

An optimized crystal structure of Sm4DyTm (PBE, the Alexandria database).

```
Sm4DyTm
1.0
-2.4600 -1.0266 2.1964
-1.9284 -6.1868 -5.0513
5.4365 -4.8207 3.8360
Sm Tm Dy
4 1 1
direct
0.0000 0.2402 0.2402
0.5000 0.2619 0.7381
0.0000 0.7598 0.7598
0.5000 0.7381 0.2619
0.0000 0.5000 0.5000
0.5000 0.0000 0.0000
```

Summary:
Uncorrected energy (eV per cell): -24.07
ρ (g cm⁻³): 6.64
Energy relative to the elements (eV/atom): 0.647
Excess energy over the best structure of this formula in the dataset (meV/atom): 630

# Sm11Dy4Tm9

An optimized crystal structure of Sm11Dy4Tm9 (PBE, the Alexandria database).

```
Sm11Dy4Tm9
1.0
3.6379 0.0000 0.0000
0.0000 13.9864 -5.9749
0.0000 0.0022 15.2092
Dy Sm Tm
4 11 9
direct
0.5000 0.7577 0.5550
0.5000 0.4450 0.2423
0.5000 0.5550 0.7577
0.5000 0.2423 0.4450
0.0000 0.5941 0.9565
0.0000 0.0435 0.4059
0.0000 0.0000 0.0000
0.0000 0.3679 0.6321
0.0000 0.6321 0.3679
0.0000 0.9565 0.5941
0.0000 0.7083 0.7083
0.0000 0.8397 0.1603
0.0000 0.1603 0.8397
0.0000 0.4059 0.0435
0.0000 0.2917 0.2917
0.5000 0.9321 0.7866
0.5000 0.8349 0.3688
0.5000 0.1651 0.6312
0.5000 0.2134 0.0679
0.5000 0.7866 0.9321
0.5000 0.3688 0.8349
0.5000 0.6312 0.1651
0.5000 0.0679 0.2134
0.5000 0.5000 0.5000
```

Summary:
Uncorrected energy (eV per cell): -109.21
ρ (g cm⁻³): 8.21
Energy relative to the elements (eV/atom): 0.056

# Sm6Dy5Tm

An optimized crystal structure of Sm6Dy5Tm (PBE, the Alexandria database).

```
Sm6Dy5Tm
1.0
4.8635 0.0194 -1.4193
-1.3834 8.8697 -4.6192
0.1160 -0.8141 9.4343
Sm Dy Tm
6 5 1
direct
0.8335 0.5839 0.6669
0.1666 0.9170 0.3331
0.5000 0.2492 0.0000
0.1665 0.4161 0.3331
0.8334 0.0830 0.6669
0.5000 0.7508 0.0000
0.6665 0.1665 0.3331
0.0000 0.5000 0.0000
0.6665 0.6665 0.3330
0.3335 0.8335 0.6669
0.3335 0.3335 0.6670
0.0000 0.0000 0.0000
```

Summary:
Uncorrected energy (eV per cell): -55.58
ρ (g cm⁻³): 8.04
Energy relative to the elements (eV/atom): 0.018

# SmDy4Tm3

An optimized crystal structure of SmDy4Tm3 (PBE, the Alexandria database).

```
SmDy4Tm3
1.0
5.4937 0.0000 -1.0950
-0.0646 3.5267 -0.3241
-0.2263 1.2141 13.1929
Dy Tm Sm
4 3 1
direct
0.3953 0.5006 0.7906
0.6047 0.4994 0.2094
0.7238 0.5004 0.4477
0.2762 0.4996 0.5523
0.0000 0.5000 0.0000
0.8443 0.9999 0.6886
0.1557 0.0001 0.3114
0.5000 0.0000 0.0000
```

Summary:
Uncorrected energy (eV per cell): -34.74
ρ (g cm⁻³): 8.45
Energy relative to the elements (eV/atom): 0.225
Excess energy over the best structure of this formula in the dataset (meV/atom): 220

# Sm7Dy12Tm

An optimized crystal structure of Sm7Dy12Tm (PBE, the Alexandria database).

```
Sm7Dy12Tm
1.0
-0.2230 6.4077 5.9661
-5.5696 -4.2635 5.2445
6.3593 -3.5167 4.8882
Tm Dy Sm
1 12 7
direct
0.0000 0.0000 0.0000
0.1471 0.7477 0.2711
0.7289 0.8529 0.2523
0.3830 0.8656 0.5032
0.8529 0.2523 0.7289
0.1344 0.4968 0.6170
0.7477 0.2711 0.1471
0.8656 0.5032 0.3830
0.6170 0.1344 0.4968
0.2523 0.7289 0.8529
0.5032 0.3830 0.8656
0.2711 0.1471 0.7477
0.4968 0.6170 0.1344
0.1536 0.3988 0.0773
0.3988 0.0773 0.1536
0.0773 0.1536 0.3988
0.5000 0.5000 0.5000
0.6012 0.9227 0.8464
0.8464 0.6012 0.9227
0.9227 0.8464 0.6012
```

Summary:
Uncorrected energy (eV per cell): -88.01
ρ (g cm⁻³): 7.89
Energy relative to the elements (eV/atom): 0.236
Excess energy over the best structure of this formula in the dataset (meV/atom): 0

# SmDy4Tm3

An optimized crystal structure of SmDy4Tm3 (PBE, the Alexandria database).

```
SmDy4Tm3
1.0
-0.3646 -5.8649 2.1197
5.8648 -1.7552 -3.8475
6.5128 2.7326 8.6810
Dy Tm Sm
8 6 2
direct
0.4812 0.8747 0.2482
0.4812 0.8747 0.7518
0.1489 0.8744 0.5000
0.9812 0.1253 0.7482
0.1462 0.8740 0.0000
0.9812 0.1253 0.2518
0.6462 0.1260 0.5000
0.6489 0.1256 0.0000
0.9809 0.6245 0.2500
0.6480 0.6243 0.0000
0.9809 0.6245 0.7500
0.1480 0.3757 0.5000
0.4809 0.3755 0.7500
0.4809 0.3755 0.2500
0.6479 0.6248 0.5000
0.1479 0.3752 0.0000
```

Summary:
Uncorrected energy (eV per cell): -73.00
ρ (g cm⁻³): 8.59
Energy relative to the elements (eV/atom): 0.005
Excess energy over the best structure of this formula in the dataset (meV/atom): 0

# Sm5DyTm6

An optimized crystal structure of Sm5DyTm6 (PBE, the Alexandria database).

```
Sm5DyTm6
1.0
4.8324 0.0190 -1.4095
-1.3650 8.7589 -4.5620
0.1123 -0.7795 9.3635
Sm Tm Dy
5 6 1
direct
0.3333 0.3333 0.6667
0.0000 0.5000 0.0000
0.6658 0.1658 0.3317
0.3342 0.8342 0.6683
0.6667 0.6667 0.3333
0.1665 0.4160 0.3329
0.8335 0.0831 0.6671
0.8335 0.5840 0.6671
0.5000 0.7509 0.0000
0.1665 0.9169 0.3329
0.5000 0.2491 0.0000
0.0000 0.0000 0.0000
```

Summary:
Uncorrected energy (eV per cell): -54.78
ρ (g cm⁻³): 8.44
Energy relative to the elements (eV/atom): 0.021

# Sm2Dy4Tm

An optimized crystal structure of Sm2Dy4Tm (PBE, the Alexandria database).

```
Sm2Dy4Tm
1.0
-0.9097 -2.0862 2.8127
13.3173 2.3738 6.0679
-9.1825 13.0398 6.7018
Tm Sm Dy
4 8 16
direct
0.0000 0.5000 0.0000
0.0000 0.0000 0.5000
0.5000 0.5000 0.5000
0.5000 0.0000 0.0000
0.5000 0.8951 0.6441
0.0000 0.1688 0.1701
0.5000 0.1049 0.3559
0.0000 0.6050 0.3559
0.5000 0.3312 0.8299
0.5000 0.6688 0.1701
0.0000 0.8312 0.8299
0.0000 0.3950 0.6441
0.0000 0.3053 0.4434
0.5000 0.9773 0.1815
0.0000 0.1796 0.9302
0.0000 0.1370 0.7083
0.0000 0.6947 0.5566
0.5000 0.8053 0.4433
0.0000 0.4774 0.1815
0.5000 0.3204 0.0698
0.0000 0.8630 0.2917
0.5000 0.1947 0.5567
0.5000 0.3630 0.2917
0.5000 0.6796 0.9302
0.5000 0.6370 0.7083
0.0000 0.5226 0.8185
0.0000 0.8204 0.0698
0.5000 0.0227 0.8185
```

Summary:
Uncorrected energy (eV per cell): -126.17
ρ (g cm⁻³): 8.18
Energy relative to the elements (eV/atom): 0.111
Excess energy over the best structure of this formula in the dataset (meV/atom): 0

# Sm8Dy3Tm

An optimized crystal structure of Sm8Dy3Tm (PBE, the Alexandria database).

```
Sm8Dy3Tm
1.0
11.9458 0.0000 0.0000
-5.9729 8.5643 -7.1453
0.0000 -5.2412 8.2419
Tm Sm Dy
1 8 3
direct
0.0000 0.0000 0.0000
0.3185 0.1450 0.9791
0.8266 0.1450 0.9791
0.1734 0.8550 0.0209
0.6815 0.8550 0.0209
0.6799 0.3597 0.0304
0.1805 0.3610 0.0233
0.3201 0.6403 0.9696
0.8195 0.6390 0.9767
0.0000 0.5000 0.0000
0.5000 0.5000 0.0000
0.5000 0.0000 0.0000
```

Summary:
Uncorrected energy (eV per cell): -54.58
ρ (g cm⁻³): 7.80
Energy relative to the elements (eV/atom): 0.121

# Sm7DyTm4

An optimized crystal structure of Sm7DyTm4 (PBE, the Alexandria database).

```
Sm7DyTm4
1.0
1.5914 -7.0089 -0.5772
7.6676 -5.5957 -0.9503
2.6962 -0.0858 8.4560
Sm Tm Dy
7 4 1
direct
0.0297 0.7195 0.3355
0.2212 0.7786 0.6654
0.5000 0.0000 0.0000
0.7788 0.2214 0.3346
0.2479 0.4992 0.9987
0.9703 0.2805 0.6645
0.7521 0.5008 0.0013
0.4695 0.2779 0.6664
0.7195 0.7805 0.6645
0.5305 0.7221 0.3336
0.2805 0.2195 0.3355
0.0000 0.0000 0.0000
```

Summary:
Uncorrected energy (eV per cell): -55.50
ρ (g cm⁻³): 8.08
Energy relative to the elements (eV/atom): 0.002
Excess energy over the best structure of this formula in the dataset (meV/atom): 0

# Sm5Dy2Tm2

An optimized crystal structure of Sm5Dy2Tm2 (PBE, the Alexandria database).

```
Sm5Dy2Tm2
1.0
-4.2151 -2.2286 1.6913
2.5596 -8.7925 2.3600
1.3667 -2.7053 7.4081
Sm Tm Dy
5 2 2
direct
0.2223 0.6652 0.8902
0.3336 0.0010 0.3319
0.6664 0.9990 0.6681
0.7777 0.3348 0.1098
0.0000 0.0000 0.0000
0.5549 0.6641 0.2262
0.4451 0.3359 0.7738
0.8905 0.6656 0.5535
0.1095 0.3344 0.4465
```

Summary:
Uncorrected energy (eV per cell): -41.57
ρ (g cm⁻³): 8.06
Energy relative to the elements (eV/atom): 0.019
Excess energy over the best structure of this formula in the dataset (meV/atom): 0

# Sm4Dy6Tm

An optimized crystal structure of Sm4Dy6Tm (PBE, the Alexandria database).

```
Sm4Dy6Tm
1.0
7.4500 -2.9454 -5.4908
-5.1578 8.0014 1.9236
-1.8986 2.9454 9.0579
Dy Sm Tm
6 4 1
direct
0.3564 0.5510 0.5510
0.0000 0.4490 0.8054
0.0000 0.8054 0.4490
0.6436 0.1946 0.1946
0.5000 0.0000 0.5000
0.5000 0.5000 0.0000
0.0000 0.0134 0.6365
0.6231 0.9866 0.9866
0.3769 0.3635 0.3635
0.0000 0.6365 0.0134
0.0000 0.0000 0.0000
```

Summary:
Uncorrected energy (eV per cell): -47.69
ρ (g cm⁻³): 7.81
Energy relative to the elements (eV/atom): 0.298
Excess energy over the best structure of this formula in the dataset (meV/atom): 0

# Sm3DyTm5

An optimized crystal structure of Sm3DyTm5 (PBE, the Alexandria database).

```
Sm3DyTm5
1.0
-5.0146 0.8537 -4.3048
8.5261 -5.9927 -5.9626
-7.3954 -2.4959 8.1198
Tm Sm Dy
10 6 2
direct
0.3186 0.0000 0.7500
0.9467 0.6473 0.5222
0.2993 0.3527 0.9778
0.3890 0.7861 0.3314
0.7007 0.6473 0.0222
0.3972 0.7861 0.8314
0.0533 0.3527 0.4778
0.6110 0.2139 0.6686
0.6028 0.2139 0.1686
0.6814 0.0000 0.2500
0.0000 0.0000 0.5000
0.6096 0.4741 0.6199
0.8644 0.4741 0.1199
0.0000 0.0000 0.0000
0.3904 0.5259 0.3801
0.1356 0.5259 0.8801
0.7730 0.0000 0.7500
0.2270 0.0000 0.2500
```

Summary:
Uncorrected energy (eV per cell): -79.24
ρ (g cm⁻³): 8.36
Energy relative to the elements (eV/atom): 0.166
Excess energy over the best structure of this formula in the dataset (meV/atom): 0

# Sm16Dy7Tm6

An optimized crystal structure of Sm16Dy7Tm6 (PBE, the Alexandria database).

```
Sm16Dy7Tm6
1.0
9.7005 0.0000 5.6006
3.2335 9.1458 5.6006
0.0000 0.0000 11.2012
Sm Dy Tm
16 7 6
direct
0.6492 0.6492 0.0523
0.3734 0.8755 0.8755
0.6492 0.0523 0.6492
0.8755 0.8755 0.8755
0.3508 0.3508 0.9477
0.8755 0.8755 0.3734
0.6492 0.6492 0.6492
0.8755 0.3734 0.8755
0.6266 0.1245 0.1245
0.3508 0.3508 0.3508
0.1245 0.1245 0.1245
0.0523 0.6492 0.6492
0.9477 0.3508 0.3508
0.1245 0.1245 0.6266
0.1245 0.6266 0.1245
0.3508 0.9477 0.3508
0.0000 0.0000 0.0000
0.0000 0.5000 0.5000
0.5000 0.0000 0.0000
0.5000 0.0000 0.5000
0.0000 0.0000 0.5000
0.5000 0.5000 0.0000
0.0000 0.5000 0.0000
0.7344 0.2656 0.7344
0.7344 0.2656 0.2656
0.2656 0.7344 0.7344
0.2656 0.7344 0.2656
0.7344 0.7344 0.2656
0.2656 0.2656 0.7344
```

Summary:
Uncorrected energy (eV per cell): -128.07
ρ (g cm⁻³): 7.61
Energy relative to the elements (eV/atom): 0.223

# Sm3DyTm5

An optimized crystal structure of Sm3DyTm5 (PBE, the Alexandria database).

```
Sm3DyTm5
1.0
9.3311 0.0357 1.5257
2.5887 8.9648 1.5257
5.6106 4.2365 9.1412
Tm Dy Sm
10 2 6
direct
0.7393 0.2607 0.0000
0.8117 0.8117 0.9666
0.2607 0.7393 0.0000
0.8440 0.3448 0.2475
0.6552 0.1560 0.7525
0.4902 0.4902 0.2243
0.1883 0.1883 0.0334
0.3448 0.8440 0.2475
0.1560 0.6552 0.7525
0.5098 0.5098 0.7757
0.1484 0.1484 0.6032
0.8516 0.8516 0.3968
0.0000 0.0000 0.5000
0.2965 0.2965 0.1938
0.0000 0.0000 0.0000
0.3415 0.3415 0.6328
0.7035 0.7035 0.8062
0.6585 0.6585 0.3672
```

Summary:
Uncorrected energy (eV per cell): -72.60
ρ (g cm⁻³): 7.52
Energy relative to the elements (eV/atom): 0.535
Excess energy over the best structure of this formula in the dataset (meV/atom): 369

# Sm4Dy4Tm3

An optimized crystal structure of Sm4Dy4Tm3 (PBE, the Alexandria database).

```
Sm4Dy4Tm3
1.0
-2.8544 1.8843 1.0973
-3.4122 -7.6041 4.1814
8.3585 5.4984 6.4227
Dy Sm Tm
4 4 3
direct
0.5000 0.1830 0.0000
0.2599 0.7599 0.5197
0.7401 0.2401 0.4803
0.5000 0.8170 0.0000
0.6435 0.8223 0.2870
0.3565 0.1777 0.7130
0.6435 0.4647 0.2869
0.3565 0.5353 0.7131
0.8924 0.8924 0.7849
0.0000 0.5000 0.0000
0.1076 0.1076 0.2151
```

Summary:
Uncorrected energy (eV per cell): -49.36
ρ (g cm⁻³): 8.08
Energy relative to the elements (eV/atom): 0.122
Excess energy over the best structure of this formula in the dataset (meV/atom): 60

no.,total magnetic moment (μB per atom)
1,0.00
2,0.00
3,0.00
4,0.00
5,0.00
6,0.00
7,0.00
8,0.00
9,0.00
10,0.00
11,0.00
12,0.00
13,0.00
14,0.00
15,0.00
16,0.00
17,0.00
18,0.00